Here is a geometry-optimized LaDyY2Ho5 structure from Alexandria via LeMat-Bulk. Energies are from PBE.

Lattice parameters (Å, degrees): 10.269 10.269 10.571 90.00 90.00 148.20
Fractional coordinates of all 18 atoms:
1 La 0.081 0.919 0.500
2 La 0.919 0.081 0.000
3 Dy 0.299 0.701 0.060
4 Dy 0.701 0.299 0.560
5 Y 0.387 0.613 0.367
6 Y 0.389 0.611 0.780
7 Y 0.611 0.389 0.280
8 Y 0.613 0.387 0.867
9 Ho 0.020 0.980 0.784
10 Ho 0.112 0.888 0.070
11 Ho 0.203 0.797 0.757
12 Ho 0.218 0.782 0.360
13 Ho 0.482 0.518 0.074
14 Ho 0.518 0.482 0.574
15 Ho 0.782 0.218 0.860
16 Ho 0.797 0.203 0.257
17 Ho 0.888 0.112 0.570
18 Ho 0.980 0.020 0.284

Summary:
Space-group type ... Cmc2_1
DFT total energy ... -4.8752 eV per atom
Energy of formation ... 0.163 eV/atom